one.
La3PmN4 GGA-PBE optimized geometry; size of the total moment = 0.00 μB/f.u.
1.0
-2.4477 2.2798 4.0570
-3.3400 -4.0526 0.2622
3.2405 -2.4550 3.3347
La Pm N
3 1 4
direct
0.0000 0.5000 0.5000
0.5000 0.0000 0.5000
0.5000 0.5000 0.0000
0.0000 0.0000 0.0000
0.5000 0.0000 0.0000
0.0000 0.5000 0.0000
0.0000 0.0000 0.5000
0.5000 0.5000 0.5000

two.
La3PmN4 GGA-PBE optimized geometry; size of the total moment = 0.00 μB/f.u.
1.0
6.4356 0.0686 0.0000
-2.1911 6.0530 0.0000
0.0000 0.0000 7.4515
N Pm La
8 2 6
direct
0.9952 0.2482 0.6415
0.5025 0.2453 0.8663
0.4952 0.2482 0.3585
0.0025 0.2453 0.1337
0.9975 0.7547 0.8663
0.5048 0.7518 0.6415
0.4975 0.7547 0.1337
0.0048 0.7518 0.3585
0.7500 0.0000 0.8723
0.2500 0.0000 0.1277
0.7500 0.0000 0.3700
0.2500 0.0000 0.6300
0.7500 0.5000 0.6295
0.7500 0.5000 0.1247
0.2500 0.5000 0.3705
0.2500 0.5000 0.8753

What should be chosen as the most stable of them? Choose two.

one.
La4Pr2N GGA-PBE optimized geometry; size of the total moment = 0.00 μB/f.u.
1.0
-3.6298 -0.4646 -0.6141
-1.6209 -3.2358 0.8187
-5.5276 5.0958 17.6060
La Pr N
4 2 1
direct
0.1384 0.1384 0.5849
0.8616 0.8616 0.4151
0.3582 0.3582 0.9253
0.6418 0.6418 0.0747
0.2464 0.2464 0.2607
0.7536 0.7536 0.7393
0.0000 0.0000 0.0000

two.
La4Pr2N GGA-PBE optimized geometry; size of the total moment = 0.00 μB/f.u.
1.0
-2.3019 -4.1295 1.9883
4.1671 -2.8122 -1.0162
4.2561 -1.4518 8.5271
Pr N La
2 1 4
direct
0.6676 0.6676 0.6648
0.3324 0.3324 0.3352
0.0000 0.0000 0.0000
0.8638 0.8638 0.2724
0.1362 0.1362 0.7276
0.0000 0.5000 0.0000
0.5000 0.0000 0.0000

What should be chosen as the most stable of them? Choose one.

one.
LaPr2N2 GGA-PBE optimized geometry; size of the total moment = 0.00 μB/f.u.
1.0
-1.7976 0.3778 -3.2013
-2.0931 -2.7584 -1.2778
-8.8466 2.7761 3.1677
La Pr N
1 2 2
direct
0.0000 0.0000 0.0000
0.2318 0.2318 0.3047
0.7682 0.7682 0.6953
0.6091 0.6091 0.1727
0.3909 0.3909 0.8273

two.
LaPr2N2 GGA-PBE optimized geometry; size of the total moment = 0.01 μB/f.u.
1.0
3.6808 0.0000 0.0000
0.0000 5.2838 0.0000
-1.8404 -2.6419 5.6644
La Pr N
1 2 2
direct
0.0000 0.0000 0.0000
0.3177 0.3177 0.6355
0.6823 0.6823 0.3645
0.6700 0.1700 0.3400
0.3300 0.8300 0.6600

What should be chosen as the most stable of them? Choose one.